1.
Compound: RbZnF4
Source: Alexandria
Functional: GGA-PBE
Structure: optimized geometry

Space-group type: No. 123
Energy relative to the elements, uncorrected, eV per atom: -2.12

POSCAR file:
```
RbZnF4
1.0
3.977 0.000 0.000
0.000 3.977 0.000
0.000 0.000 6.148
Rb Zn F
1 1 4
direct
0.000 0.000 0.000 Rb
0.500 0.500 0.500 Zn
0.000 0.500 0.500 F
0.500 0.000 0.500 F
0.500 0.500 0.190 F
0.500 0.500 0.810 F
```

2.
Compound: NiMoPd2
Source: Alexandria
Functional: GGA-PBE
Structure: optimized geometry

Space-group type: No. 225
Calculated formation energy, meV per atom: 187

POSCAR file:
```
NiMoPd2
1.0
0.000 3.074 3.074
3.074 0.000 3.074
3.074 3.074 0.000
Ni Mo Pd
1 1 2
direct
0.000 0.000 0.000 Ni
0.500 0.500 0.500 Mo
0.250 0.250 0.250 Pd
0.750 0.750 0.750 Pd
```

3.
Compound: ScTi
Source: Alexandria
Functional: GGA-PBE
Structure: optimized geometry

Space-group type: No. 12
Calculated formation energy, meV per atom: 114

POSCAR file:
```
ScTi
1.0
2.674 -1.545 0.000
2.674 1.545 0.000
-1.782 0.000 9.935
Sc Ti
2 2
direct
0.120 0.120 0.359 Sc
0.880 0.880 0.641 Sc
0.295 0.295 0.887 Ti
0.705 0.705 0.113 Ti
```

Number 1: magnetic moment 0.000 μB per formula unit. Number 2: magnetic moment 0.000 μB per formula unit. Number 3: magnetic moment 0.001 μB per formula unit.